Entry from Alexandria via LeMat-Bulk: a relaxed KLi2F crystal (PBE).

Results
- Relative energy among the computed polymorphs: 0.729 eV per atom
- Crystal system: cubic
- N(E_F): 0.35 states/eV/atom
- E_form (uncorrected): -476 meV per atom
- Raw total energy: -2.175 eV per atom

a = 7.408 Å, b = 7.408 Å, c = 7.408 Å
α = 90.00°, β = 90.00°, γ = 90.00°
Space group Fm-3m (No. 225)
Inequivalent atoms, fractional coordinates:
K 0.000 0.000 0.000 x4
Li 0.250 0.250 0.250 x8
F 0.000 0.000 0.500 x4